# 1
The following is a PBE calculation of a geometry-optimized Mn5NiN structure, from the Alexandria database.

Lattice parameters (Å, degrees): 3.4897 3.4897 6.0462 90.00 90.00 90.00
Site moments in Bohr magnetons follow the coordinates.
Atoms (fractional coordinates):
Mn 0.0000 0.5000 0.3019  1.71
N 0.0000 0.0000 0.5000  -0.09
Mn 0.5000 0.0000 0.3019  1.71
Mn 0.0000 0.5000 0.6981  1.71
Mn 0.5000 0.0000 0.6981  1.71
Ni 0.0000 0.0000 0.0000  -0.07
Mn 0.5000 0.5000 0.0000  -2.40

Output
**E**: -59.52 eV/cell
**Symmetry**: P4/mmm
**V**: 73.63 Å³ per cell
**Formation energy from raw total energies**: 0.0624 eV/atom
**Density**: 7.83 g/cm3


# 2
The following is a PBE calculation of a geometry-optimized LaZrRu2 structure, from the Alexandria database.

Lattice parameters (Å, degrees): 3.3573 3.3573 7.0638 90.00 90.00 90.06
Atoms (fractional coordinates):
Ru 0.0000 0.0000 0.0308
Ru 0.0000 0.0000 0.4692
Zr 0.5000 0.5000 0.2500
La 0.5000 0.5000 0.7500

Output
**E**: -33.33 eV/cell
**Symmetry**: P4/mmm
**Calculated formation energy**: -0.3262 eV per atom
**V**: 79.62 Å³ per cell
**Density**: 9.02 g/cm3


Question: Look up the density of the second one.
Answer: 9.02 g/cm3